[1]
InMoRh2 | PBE | relaxed

Properties
The crystal system is orthorhombic. The value obtained for the density of states at the Fermi level is 0.962 states/eV/atom. The value obtained for the magnetization is 0.0000 μB/atom. The space group is No. 44. Its energy relative to the elements is 0.03 eV per atom.

```
data_InMoRh2
_chemical_formula_sum 'In1 Mo1 Rh2'
_symmetry_space_group_name_H-M 'P 1'
_symmetry_Int_Tables_number 1
_cell_length_a 5.572
_cell_length_b 5.572
_cell_length_c 5.572
_cell_angle_alpha 149.79
_cell_angle_beta 130.94
_cell_angle_gamma 58.71
loop_
_symmetry_equiv_pos_as_xyz
'x,y,z'
loop_
_atom_site_label
_atom_site_type_symbol
_atom_site_fract_x
_atom_site_fract_y
_atom_site_fract_z
_atom_site_occupancy
In1 In 0.000 0.000 0.000 1
Mo1 Mo 0.273 0.773 0.500 1
Rh1 Rh 0.496 0.496 0.000 1
Rh2 Rh 0.741 0.241 0.500 1
```


[2]
InMoRh2 | PBE | relaxed

Properties
The crystal system is cubic. The value obtained for the density of states at the Fermi level is 1.667 states/eV/atom. The value obtained for the magnetization is 0.0002 μB/atom. The space group is No. 216. Its energy relative to the elements is 0.15 eV per atom.

```
data_InMoRh2
_chemical_formula_sum 'In1 Mo1 Rh2'
_symmetry_space_group_name_H-M 'P 1'
_symmetry_Int_Tables_number 1
_cell_length_a 4.501
_cell_length_b 4.501
_cell_length_c 4.501
_cell_angle_alpha 60.00
_cell_angle_beta 60.00
_cell_angle_gamma 60.00
loop_
_symmetry_equiv_pos_as_xyz
'x,y,z'
loop_
_atom_site_label
_atom_site_type_symbol
_atom_site_fract_x
_atom_site_fract_y
_atom_site_fract_z
_atom_site_occupancy
In1 In 0.000 0.000 0.000 1
Mo1 Mo 0.250 0.250 0.250 1
Rh1 Rh 0.500 0.500 0.500 1
Rh2 Rh 0.750 0.750 0.750 1
```


[3]
InMo2Rh2 | PBE | relaxed

Properties
The crystal system is tetragonal. The value obtained for the density of states at the Fermi level is 0.923 states/eV/atom. The value obtained for the magnetization is 0.0000 μB/atom. The space group is No. 127. Its energy relative to the elements is 0.05 eV per atom.

```
data_InMo2Rh2
_chemical_formula_sum 'In2 Mo4 Rh4'
_symmetry_space_group_name_H-M 'P 1'
_symmetry_Int_Tables_number 1
_cell_length_a 7.688
_cell_length_b 7.688
_cell_length_c 2.812
_cell_angle_alpha 90.00
_cell_angle_beta 90.00
_cell_angle_gamma 90.00
loop_
_symmetry_equiv_pos_as_xyz
'x,y,z'
loop_
_atom_site_label
_atom_site_type_symbol
_atom_site_fract_x
_atom_site_fract_y
_atom_site_fract_z
_atom_site_occupancy
In1 In 0.000 0.000 0.000 1
In2 In 0.500 0.500 0.000 1
Mo1 Mo 0.169 0.331 0.500 1
Mo2 Mo 0.331 0.831 0.500 1
Mo3 Mo 0.669 0.169 0.500 1
Mo4 Mo 0.831 0.669 0.500 1
Rh1 Rh 0.125 0.625 0.000 1
Rh2 Rh 0.375 0.125 0.000 1
Rh3 Rh 0.625 0.875 0.000 1
Rh4 Rh 0.875 0.375 0.000 1
```


[4]
InMoRh2 | PBE | relaxed

Properties
The crystal system is monoclinic. The value obtained for the density of states at the Fermi level is 1.027 states/eV/atom. The value obtained for the magnetization is 0.0000 μB/atom. The space group is No. 12. Its energy relative to the elements is -0.02 eV per atom.

```
data_InMoRh2
_chemical_formula_sum 'In1 Mo1 Rh2'
_symmetry_space_group_name_H-M 'P 1'
_symmetry_Int_Tables_number 1
_cell_length_a 4.754
_cell_length_b 4.754
_cell_length_c 5.043
_cell_angle_alpha 98.52
_cell_angle_beta 98.52
_cell_angle_gamma 34.84
loop_
_symmetry_equiv_pos_as_xyz
'x,y,z'
loop_
_atom_site_label
_atom_site_type_symbol
_atom_site_fract_x
_atom_site_fract_y
_atom_site_fract_z
_atom_site_occupancy
In1 In 0.000 0.000 0.000 1
Mo1 Mo 0.500 0.500 0.500 1
Rh1 Rh 0.248 0.248 0.732 1
Rh2 Rh 0.752 0.752 0.268 1
```


[5]
InMoRh2 | PBE | relaxed

Properties
The crystal system is trigonal. The value obtained for the density of states at the Fermi level is 0.702 states/eV/atom. The value obtained for the magnetization is 0.0000 μB/atom. The space group is No. 166. Its energy relative to the elements is -0.05 eV per atom.

```
data_InMoRh2
_chemical_formula_sum 'In1 Mo1 Rh2'
_symmetry_space_group_name_H-M 'P 1'
_symmetry_Int_Tables_number 1
_cell_length_a 9.084
_cell_length_b 9.084
_cell_length_c 9.084
_cell_angle_alpha 18.28
_cell_angle_beta 18.28
_cell_angle_gamma 18.28
loop_
_symmetry_equiv_pos_as_xyz
'x,y,z'
loop_
_atom_site_label
_atom_site_type_symbol
_atom_site_fract_x
_atom_site_fract_y
_atom_site_fract_z
_atom_site_occupancy
In1 In 0.000 0.000 0.000 1
Mo1 Mo 0.500 0.500 0.500 1
Rh1 Rh 0.247 0.247 0.247 1
Rh2 Rh 0.753 0.753 0.753 1
```


[6]
InMoRh2 | PBE | relaxed

Properties
The crystal system is tetragonal. The value obtained for the density of states at the Fermi level is 1.534 states/eV/atom. The value obtained for the magnetization is 0.0000 μB/atom. The space group is No. 123. Its energy relative to the elements is -0.01 eV per atom.

```
data_InMoRh2
_chemical_formula_sum 'In1 Mo1 Rh2'
_symmetry_space_group_name_H-M 'P 1'
_symmetry_Int_Tables_number 1
_cell_length_a 4.702
_cell_length_b 4.702
_cell_length_c 2.914
_cell_angle_alpha 90.00
_cell_angle_beta 90.00
_cell_angle_gamma 90.00
loop_
_symmetry_equiv_pos_as_xyz
'x,y,z'
loop_
_atom_site_label
_atom_site_type_symbol
_atom_site_fract_x
_atom_site_fract_y
_atom_site_fract_z
_atom_site_occupancy
In1 In 0.000 0.000 0.000 1
Mo1 Mo 0.500 0.500 0.000 1
Rh1 Rh 0.000 0.500 0.500 1
Rh2 Rh 0.500 0.000 0.500 1
```


[7]
InMoRh2 | PBE | relaxed

Properties
The crystal system is tetragonal. The value obtained for the density of states at the Fermi level is 0.720 states/eV/atom. The value obtained for the magnetization is 0.0000 μB/atom. The space group is No. 123. Its energy relative to the elements is -0.25 eV per atom.

```
data_InMoRh2
_chemical_formula_sum 'In1 Mo1 Rh2'
_symmetry_space_group_name_H-M 'P 1'
_symmetry_Int_Tables_number 1
_cell_length_a 2.889
_cell_length_b 2.889
_cell_length_c 7.629
_cell_angle_alpha 90.00
_cell_angle_beta 90.00
_cell_angle_gamma 90.00
loop_
_symmetry_equiv_pos_as_xyz
'x,y,z'
loop_
_atom_site_label
_atom_site_type_symbol
_atom_site_fract_x
_atom_site_fract_y
_atom_site_fract_z
_atom_site_occupancy
In1 In 0.000 0.000 0.000 1
Mo1 Mo 0.000 0.000 0.500 1
Rh1 Rh 0.500 0.500 0.265 1
Rh2 Rh 0.500 0.500 0.735 1
```


[8]
InMo3Rh | PBE | relaxed

Properties
The crystal system is cubic. The value obtained for the density of states at the Fermi level is 1.209 states/eV/atom. The value obtained for the magnetization is 0.0868 μB/atom. The space group is No. 221. Its energy relative to the elements is 1.46 eV per atom.

```
data_InMo3Rh
_chemical_formula_sum 'In1 Mo3 Rh1'
_symmetry_space_group_name_H-M 'P 1'
_symmetry_Int_Tables_number 1
_cell_length_a 4.727
_cell_length_b 4.727
_cell_length_c 4.727
_cell_angle_alpha 90.00
_cell_angle_beta 90.00
_cell_angle_gamma 90.00
loop_
_symmetry_equiv_pos_as_xyz
'x,y,z'
loop_
_atom_site_label
_atom_site_type_symbol
_atom_site_fract_x
_atom_site_fract_y
_atom_site_fract_z
_atom_site_occupancy
In1 In 0.000 0.000 0.000 1
Mo1 Mo 0.000 0.500 0.500 1
Mo2 Mo 0.500 0.000 0.500 1
Mo3 Mo 0.500 0.500 0.000 1
Rh1 Rh 0.500 0.500 0.500 1
```


[9]
InMo4Rh | PBE | relaxed

Properties
The crystal system is cubic. The value obtained for the density of states at the Fermi level is 0.707 states/eV/atom. The value obtained for the magnetization is 0.0000 μB/atom. The space group is No. 216. Its energy relative to the elements is 0.32 eV per atom.

```
data_InMo4Rh
_chemical_formula_sum 'In1 Mo4 Rh1'
_symmetry_space_group_name_H-M 'P 1'
_symmetry_Int_Tables_number 1
_cell_length_a 5.245
_cell_length_b 5.245
_cell_length_c 5.245
_cell_angle_alpha 60.00
_cell_angle_beta 60.00
_cell_angle_gamma 60.00
loop_
_symmetry_equiv_pos_as_xyz
'x,y,z'
loop_
_atom_site_label
_atom_site_type_symbol
_atom_site_fract_x
_atom_site_fract_y
_atom_site_fract_z
_atom_site_occupancy
In1 In 0.000 0.000 0.000 1
Mo1 Mo 0.123 0.626 0.626 1
Mo2 Mo 0.626 0.123 0.626 1
Mo3 Mo 0.626 0.626 0.123 1
Mo4 Mo 0.626 0.626 0.626 1
Rh1 Rh 0.250 0.250 0.250 1
```


[10]
InMoRh | PBE | relaxed

Properties
The crystal system is tetragonal. The value obtained for the density of states at the Fermi level is 0.601 states/eV/atom. The value obtained for the magnetization is 0.0000 μB/atom. The space group is No. 139. Its energy relative to the elements is -0.06 eV per atom.

```
data_InMoRh
_chemical_formula_sum 'In2 Mo2 Rh2'
_symmetry_space_group_name_H-M 'P 1'
_symmetry_Int_Tables_number 1
_cell_length_a 11.277
_cell_length_b 11.277
_cell_length_c 11.277
_cell_angle_alpha 163.96
_cell_angle_beta 163.96
_cell_angle_gamma 22.76
loop_
_symmetry_equiv_pos_as_xyz
'x,y,z'
loop_
_atom_site_label
_atom_site_type_symbol
_atom_site_fract_x
_atom_site_fract_y
_atom_site_fract_z
_atom_site_occupancy
In1 In 0.064 0.064 0.000 1
In2 In 0.936 0.936 0.000 1
Mo1 Mo 0.218 0.218 0.000 1
Mo2 Mo 0.782 0.782 0.000 1
Rh1 Rh 0.355 0.355 0.000 1
Rh2 Rh 0.645 0.645 0.000 1
```


[11]
InMoRh2 | PBE | relaxed

Properties
The crystal system is trigonal. The value obtained for the density of states at the Fermi level is 1.007 states/eV/atom. The value obtained for the magnetization is 0.0936 μB/atom. The space group is No. 160. Its energy relative to the elements is 0.10 eV per atom.

```
data_InMoRh2
_chemical_formula_sum 'In1 Mo1 Rh2'
_symmetry_space_group_name_H-M 'P 1'
_symmetry_Int_Tables_number 1
_cell_length_a 9.171
_cell_length_b 9.171
_cell_length_c 9.171
_cell_angle_alpha 18.09
_cell_angle_beta 18.09
_cell_angle_gamma 18.09
loop_
_symmetry_equiv_pos_as_xyz
'x,y,z'
loop_
_atom_site_label
_atom_site_type_symbol
_atom_site_fract_x
_atom_site_fract_y
_atom_site_fract_z
_atom_site_occupancy
In1 In 0.000 0.000 0.000 1
Mo1 Mo 0.758 0.758 0.758 1
Rh1 Rh 0.251 0.251 0.251 1
Rh2 Rh 0.500 0.500 0.500 1
```


[12]
InMo2Ru2 | PBE | relaxed

Properties
The crystal system is tetragonal. The value obtained for the density of states at the Fermi level is 0.692 states/eV/atom. The value obtained for the magnetization is 0.0000 μB/atom. The space group is No. 139. Its energy relative to the elements is 0.30 eV per atom.

```
data_InMo2Ru2
_chemical_formula_sum 'In1 Mo2 Ru2'
_symmetry_space_group_name_H-M 'P 1'
_symmetry_Int_Tables_number 1
_cell_length_a 6.257
_cell_length_b 6.257
_cell_length_c 6.257
_cell_angle_alpha 142.43
_cell_angle_beta 142.43
_cell_angle_gamma 54.18
loop_
_symmetry_equiv_pos_as_xyz
'x,y,z'
loop_
_atom_site_label
_atom_site_type_symbol
_atom_site_fract_x
_atom_site_fract_y
_atom_site_fract_z
_atom_site_occupancy
In1 In 0.000 0.000 0.000 1
Mo1 Mo 0.250 0.750 0.500 1
Mo2 Mo 0.750 0.250 0.500 1
Ru1 Ru 0.391 0.391 0.000 1
Ru2 Ru 0.609 0.609 0.000 1
```


[13]
In2MoRu | PBE | relaxed

Properties
The crystal system is monoclinic. The value obtained for the density of states at the Fermi level is 0.471 states/eV/atom. The value obtained for the magnetization is 0.0000 μB/atom. The space group is No. 6. Its energy relative to the elements is 0.27 eV per atom.

```
data_In2MoRu
_chemical_formula_sum 'In2 Mo1 Ru1'
_symmetry_space_group_name_H-M 'P 1'
_symmetry_Int_Tables_number 1
_cell_length_a 3.086
_cell_length_b 4.370
_cell_length_c 5.730
_cell_angle_alpha 90.00
_cell_angle_beta 105.50
_cell_angle_gamma 90.00
loop_
_symmetry_equiv_pos_as_xyz
'x,y,z'
loop_
_atom_site_label
_atom_site_type_symbol
_atom_site_fract_x
_atom_site_fract_y
_atom_site_fract_z
_atom_site_occupancy
In1 In 0.000 0.000 0.000 1
In2 In 0.342 0.500 0.690 1
Mo1 Mo 0.619 0.500 0.235 1
Ru1 Ru 0.722 0.000 0.455 1
```


[14]
In2MoRu | PBE | relaxed

Properties
The crystal system is monoclinic. The value obtained for the density of states at the Fermi level is 1.059 states/eV/atom. The value obtained for the magnetization is 0.0001 μB/atom. The space group is No. 10. Its energy relative to the elements is 0.43 eV per atom.

```
data_In2MoRu
_chemical_formula_sum 'In2 Mo1 Ru1'
_symmetry_space_group_name_H-M 'P 1'
_symmetry_Int_Tables_number 1
_cell_length_a 2.984
_cell_length_b 4.500
_cell_length_c 5.433
_cell_angle_alpha 90.00
_cell_angle_beta 98.80
_cell_angle_gamma 90.00
loop_
_symmetry_equiv_pos_as_xyz
'x,y,z'
loop_
_atom_site_label
_atom_site_type_symbol
_atom_site_fract_x
_atom_site_fract_y
_atom_site_fract_z
_atom_site_occupancy
In1 In 0.212 0.000 0.255 1
In2 In 0.788 0.000 0.745 1
Mo1 Mo 0.500 0.500 0.000 1
Ru1 Ru 0.000 0.500 0.500 1
```